First-principles (PBE-GGA) data for an optimized crystal structure of Pu2Fe3Co, as listed in the Alexandria database.

Lattice parameters (Å, degrees): 5.0038 5.0038 4.9071 99.55 114.80 115.21
Last column: magnetic moment on the atom in μB.
Atoms (fractional coordinates):
Pu  0.7489  0.3753  0.1242  5.22
Pu  0.2511  0.6247  0.8758  5.22
Fe  0.5000  0.5000  0.5000  -2.15
Fe  0.0000  0.0000  0.5000  -2.15
Fe  0.5000  0.0000  0.5000  -2.05
Co  0.0000  0.0000  0.0000  -1.19

Computed properties:
The value obtained for the volume is 15.266 Å³/atom. The value obtained for the magnetization is 3.354 μB per formula unit. Its total energy is -10.3145 eV/atom. The space group is C2/m (12). For the formation energy, the calculation gives -122 meV per atom.


First-principles (PBE-GGA) data for an optimized crystal structure of PuFeCoRu, as listed in the Alexandria database.

Lattice parameters (Å, degrees): 4.4182 4.4182 4.4182 60.00 60.00 60.00
Last column: magnetic moment on the atom in μB.
Atoms (fractional coordinates):
Ru  0.2500  0.2500  0.2500  0.69
Co  0.7500  0.7500  0.7500  1.09
Fe  0.5000  0.5000  0.5000  2.76
Pu  0.0000  0.0000  0.0000  -4.82

Computed properties:
The value obtained for the volume is 15.246 Å³/atom. The value obtained for the magnetization is 0.469 μB per formula unit. Its total energy is -9.7171 eV/atom. The space group is F-43m (216). For the formation energy, the calculation gives 77 meV per atom.


What is the formula in the first record?
Pu2Fe3Co


The highest total energy belongs to which entry?
PuFeCoRu


The highest volume belongs to which entry?
Pu2Fe3Co


What is the volume in the first record?
15.266 Å³/atom